1.
A plane-wave DFT calculation with PBE was carried out for a relaxed Zr2ZnI2 crystal.

Cell and atoms, written as CIF:
```
data_Zr2ZnI2
_chemical_formula_sum 'Zr4 Zn2 I4'
_cell_length_a 4.974
_cell_length_b 4.974
_cell_length_c 12.115
_cell_angle_alpha 90.00
_cell_angle_beta 90.00
_cell_angle_gamma 90.00
_symmetry_space_group_name_H-M 'I 4/m m m'
_symmetry_Int_Tables_number 139
_symmetry_space_group_name_Hall '-I 4 2'
loop_
_atom_site_label
_atom_site_fract_x
_atom_site_fract_y
_atom_site_fract_z
Zr1 0.000 0.000 0.114
Zn1 0.000 0.000 0.500
I1 0.000 0.500 0.250
```

Summary:
Raw formation energy = 0.37 eV/atom
Relative energy among the computed polymorphs = 0.2691 eV/atom
Calculated volume = 299.7 Å³/cell



2.
A plane-wave DFT calculation with PBE was carried out for a relaxed ZrZnI3 crystal.

Cell and atoms, written as CIF:
```
data_ZrZnI3
_chemical_formula_sum 'Zr1 Zn1 I3'
_cell_length_a 5.500
_cell_length_b 5.500
_cell_length_c 5.500
_cell_angle_alpha 90.00
_cell_angle_beta 90.00
_cell_angle_gamma 90.00
_symmetry_space_group_name_H-M 'P m -3 m'
_symmetry_Int_Tables_number 221
_symmetry_space_group_name_Hall '-P 4 2 3'
loop_
_atom_site_label
_atom_site_fract_x
_atom_site_fract_y
_atom_site_fract_z
Zr1 0.000 0.000 0.000
Zn1 0.500 0.500 0.500
I1 0.000 0.500 0.500
```

Summary:
Raw formation energy = 0.33 eV/atom
Relative energy among the computed polymorphs = 0.6681 eV/atom
Calculated volume = 166.4 Å³/cell



3.
A plane-wave DFT calculation with PBE was carried out for a relaxed ZrZnI crystal.

Cell and atoms, written as CIF:
```
data_ZrZnI
_chemical_formula_sum 'Zr4 Zn4 I4'
_cell_length_a 6.413
_cell_length_b 3.701
_cell_length_c 13.659
_cell_angle_alpha 90.00
_cell_angle_beta 98.76
_cell_angle_gamma 90.00
_symmetry_space_group_name_H-M 'C 1 2/m 1'
_symmetry_Int_Tables_number 12
loop_
_symmetry_equiv_pos_as_xyz
'x,y,z'
'-x,-y,-z'
'-x,y,-z'
'x,-y,z'
'x+1/2,y+1/2,z'
'-x+1/2,-y+1/2,-z'
'-x+1/2,y+1/2,-z'
'x+1/2,-y+1/2,z'
loop_
_atom_site_label
_atom_site_fract_x
_atom_site_fract_y
_atom_site_fract_z
Zr1 0.104 0.000 0.307
Zn1 0.184 0.000 0.552
I1 0.111 0.500 0.842
```

Summary:
Raw formation energy = -0.36 eV/atom
Calculated volume = 320.4 Å³/cell



4.
A plane-wave DFT calculation with PBE was carried out for a relaxed Zr2Zn2I crystal.

Cell and atoms, written as CIF:
```
data_Zr2Zn2I
_chemical_formula_sum 'Zr4 Zn4 I2'
_cell_length_a 7.474
_cell_length_b 7.474
_cell_length_c 3.943
_cell_angle_alpha 90.00
_cell_angle_beta 90.00
_cell_angle_gamma 90.00
_symmetry_space_group_name_H-M 'P 4/m b m'
_symmetry_Int_Tables_number 127
_symmetry_space_group_name_Hall '-P 4 2ab'
loop_
_atom_site_label
_atom_site_fract_x
_atom_site_fract_y
_atom_site_fract_z
Zr1 0.153 0.347 0.000
Zn1 0.137 0.637 0.500
I1 0.000 0.000 0.000
```

Summary:
Raw formation energy = -0.04 eV/atom
Calculated volume = 220.3 Å³/cell



Q: What is the raw formation energy in the second record?
A: 0.33 eV/atom



Copy entry 2 word for word.
A plane-wave DFT calculation with PBE was carried out for a relaxed ZrZnI3 crystal.

Cell and atoms, written as CIF:
```
data_ZrZnI3
_chemical_formula_sum 'Zr1 Zn1 I3'
_cell_length_a 5.500
_cell_length_b 5.500
_cell_length_c 5.500
_cell_angle_alpha 90.00
_cell_angle_beta 90.00
_cell_angle_gamma 90.00
_symmetry_space_group_name_H-M 'P m -3 m'
_symmetry_Int_Tables_number 221
_symmetry_space_group_name_Hall '-P 4 2 3'
loop_
_atom_site_label
_atom_site_fract_x
_atom_site_fract_y
_atom_site_fract_z
Zr1 0.000 0.000 0.000
Zn1 0.500 0.500 0.500
I1 0.000 0.500 0.500
```

Summary:
Raw formation energy = 0.33 eV/atom
Relative energy among the computed polymorphs = 0.6681 eV/atom
Calculated volume = 166.4 Å³/cell



Q: Which value of calculated volume does entry 3 give?
A: 320.4 Å³/cell